Density functional theory data (PBE-GGA) for a relaxed MgCu2Os crystal. Values from VASP.

Geometry as Quantum ESPRESSO input:
```
&SYSTEM
  ibrav = 0, nat = 4, ntyp = 3
/
ATOMIC_SPECIES
Mg 24.30 Mg.upf
Cu 63.55 Cu.upf
Os 190.23 Os.upf
CELL_PARAMETERS angstrom
4.505 -1.309 0.000
4.505 1.309 0.000
-0.738 0.000 4.788
ATOMIC_POSITIONS crystal
Mg 0.000 0.000 0.000
Cu 0.245 0.245 0.731
Cu 0.755 0.755 0.269
Os 0.500 0.500 0.500
```

Properties
Total moment = 0.00 μB/f.u.
Total DFT energy (no corrections) = -5.02 eV per atom
SG = No. 12

Density functional theory data (PBE-GGA) for a relaxed MgCuOs2 crystal. Values from VASP.

Geometry as Quantum ESPRESSO input:
```
&SYSTEM
  ibrav = 0, nat = 4, ntyp = 3
/
ATOMIC_SPECIES
Mg 24.30 Mg.upf
Cu 63.55 Cu.upf
Os 190.23 Os.upf
CELL_PARAMETERS angstrom
1.428 -2.267 0.000
1.428 2.267 0.000
0.000 0.000 8.964
ATOMIC_POSITIONS crystal
Mg 0.000 0.000 0.000
Cu 0.000 0.000 0.500
Os 0.500 0.500 0.256
Os 0.500 0.500 0.744
```

Properties
Total moment = 0.00 μB/f.u.
Total DFT energy (no corrections) = -6.64 eV per atom
SG = No. 65

no.,DFT formation energy (eV per atom)
1,0.230
2,0.399